[1]
CePm2Al6: optimized geometry, PBE.

Calculated values
For the total energy, the calculation gives -4.67 eV per atom. Its total magnetization is 0.6 μB per formula unit.

```
CePm2Al6
1.0
-3.1793 -1.1084 -1.3694
3.2154 -7.1001 -1.7181
-3.4706 1.1995 7.0865
Al Pm Ce
6 2 1
Direct
0.5000 0.0000 0.6676
0.5000 0.3324 0.3324
0.5000 0.0000 0.3324
0.5000 0.6676 0.0000
0.5000 0.3324 0.0000
0.5000 0.6676 0.6676
0.0000 0.3333 0.6667
0.0000 0.6667 0.3333
0.0000 0.0000 0.0000
```


[2]
CePm2Al2: optimized geometry, PBE.

Calculated values
For the total energy, the calculation gives -4.70 eV per atom. Its total magnetization is 1.2 μB per formula unit.

```
CePm2Al2
1.0
3.4106 0.0000 0.0000
0.0000 8.9171 0.0000
0.0000 0.0000 8.9171
Pm Al Ce
4 4 2
Direct
0.0000 0.6296 0.1296
0.0000 0.3704 0.8704
0.0000 0.8704 0.6296
0.0000 0.1296 0.3704
0.5000 0.8298 0.3298
0.5000 0.1702 0.6702
0.5000 0.6702 0.8298
0.5000 0.3298 0.1702
0.0000 0.0000 0.0000
0.0000 0.5000 0.5000
```


[3]
Ce2Pm2Al3: optimized geometry, PBE.

Calculated values
For the total energy, the calculation gives -4.91 eV per atom. Its total magnetization is 0.6 μB per formula unit.

```
Ce2Pm2Al3
1.0
-1.2342 -4.0594 -0.9424
0.5247 -0.8942 3.1643
-11.8739 0.7754 2.1881
Pm Al Ce
2 3 2
Direct
0.4269 0.5000 0.1462
0.5731 0.5000 0.8538
0.0000 0.0000 0.0000
0.8541 0.0000 0.2917
0.1459 0.0000 0.7083
0.2866 0.5000 0.4268
0.7134 0.5000 0.5732
```


[4]
Ce3Pm5Al12: optimized geometry, PBE.

Calculated values
For the total energy, the calculation gives -3.97 eV per atom. Its total magnetization is 2.3 μB per formula unit.

```
Ce3Pm5Al12
1.0
15.0333 0.0000 0.0000
-5.0111 14.1735 0.0000
-5.0111 -7.0868 12.2746
Pm Al Ce
20 48 12
Direct
0.5000 0.0000 0.5000
0.0000 0.5000 0.5000
0.2500 0.3750 0.6250
0.1250 0.3750 0.2500
0.6250 0.8750 0.2500
0.5000 0.0000 0.0000
0.7500 0.1250 0.8750
0.3750 0.2500 0.1250
0.3750 0.1250 0.7500
0.5000 0.5000 0.0000
0.0000 0.5000 0.0000
0.6250 0.7500 0.8750
0.2500 0.8750 0.1250
0.0000 0.0000 0.5000
0.7500 0.6250 0.3750
0.8750 0.6250 0.7500
0.1250 0.7500 0.3750
0.0000 0.0000 0.0000
0.8750 0.2500 0.6250
0.5000 0.5000 0.5000
0.5664 0.8396 0.4306
0.9336 0.0694 0.6604
0.5910 0.3643 0.9306
0.1357 0.0694 0.9090
0.1604 0.4336 0.0694
0.6604 0.0910 0.2268
0.0694 0.9336 0.1604
0.4306 0.3396 0.5664
0.0910 0.4306 0.8643
0.9306 0.0664 0.8396
0.2268 0.6357 0.0664
0.6357 0.2268 0.5664
0.3643 0.5910 0.4306
0.8396 0.2732 0.4090
0.9306 0.8643 0.5910
0.2732 0.8396 0.9090
0.8643 0.9306 0.0910
0.8643 0.9336 0.2732
0.8396 0.5664 0.9306
0.7268 0.1604 0.0910
0.3396 0.9090 0.7732
0.6604 0.5694 0.9336
0.1604 0.7268 0.5910
0.4090 0.6357 0.0694
0.4306 0.0910 0.3643
0.0664 0.1357 0.2268
0.9090 0.3396 0.2732
0.4090 0.7732 0.8396
0.3643 0.7732 0.4336
0.2732 0.4336 0.8643
0.5664 0.7268 0.6357
0.1357 0.0664 0.7268
0.0694 0.1357 0.4090
0.6357 0.4090 0.5694
0.7732 0.3643 0.9336
0.5910 0.2268 0.1604
0.3396 0.4306 0.0664
0.7268 0.5664 0.1357
0.0910 0.6604 0.7268
0.4336 0.1604 0.5694
0.0664 0.9306 0.3396
0.9090 0.5694 0.1357
0.9336 0.8643 0.7732
0.5694 0.6604 0.4336
0.5694 0.9090 0.6357
0.7732 0.4090 0.3396
0.4336 0.2732 0.3643
0.2268 0.5910 0.6604
0.1250 0.8750 0.7500
0.3750 0.7500 0.6250
0.6250 0.3750 0.7500
0.7500 0.3750 0.1250
0.8750 0.7500 0.1250
0.2500 0.1250 0.3750
0.3750 0.6250 0.2500
0.7500 0.8750 0.6250
0.6250 0.2500 0.3750
0.1250 0.2500 0.8750
0.8750 0.1250 0.2500
0.2500 0.6250 0.8750
```